PBE-GGA PmY3Al8, optimized geometry; SG = R3m (160); total magnetization = 0.00 μB/cell; polymorph energy (0 for the lowest one) = 0 meV/atom; crystal system = trigonal; E_form = -0.524 eV/atom
1.0
-1.324 5.309 1.116
-4.752 2.168 -1.977
-6.410 -0.197 7.302
Pm Y Al
1 3 8
direct
0.875 0.875 0.375
0.000 0.000 0.000
0.500 0.500 0.501
0.375 0.375 0.874
0.938 0.438 0.186
0.937 0.436 0.689
0.688 0.688 0.937
0.187 0.187 0.438
0.438 0.438 0.186
0.438 0.938 0.186
0.436 0.937 0.689
0.937 0.937 0.689

=====

PBE-GGA LiTePb2, optimized geometry; SG = P4mm (99); total magnetization = 0.00 μB/cell; crystal system = tetragonal; formation energy without anion corrections = -0.276 eV per atom
1.0
4.080 0.000 0.000
0.000 4.078 0.000
0.000 0.000 6.838
Pb Li Te
2 1 1
direct
0.000 0.000 0.998
0.500 0.500 0.251
0.500 0.500 0.699
0.000 0.000 0.552

=====

PBE-GGA ScInS2N, optimized geometry; SG = P4/mmm (123); total magnetization = 1.01 μB/cell; polymorph energy (0 for the lowest one) = 404 meV/atom; crystal system = tetragonal; formation energy without anion corrections = 0.278 eV per atom
1.0
5.142 0.000 0.000
0.000 5.142 0.000
0.000 0.000 4.195
S Sc N In
2 1 1 1
direct
0.500 0.000 0.000
0.000 0.500 0.000
0.500 0.500 0.500
0.000 0.000 0.500
0.000 0.000 0.000

=====

PBE-GGA Li5P4, optimized geometry; SG = I4/mmm (139); total magnetization = 0.00 μB/cell; polymorph energy (0 for the lowest one) = 434 meV/atom; crystal system = tetragonal; E_form = -0.114 eV/atom
1.0
-3.865 3.865 2.321
3.865 -3.865 2.321
3.865 3.865 -2.321
P Li
4 5
direct
0.000 0.354 0.354
0.000 0.646 0.646
0.646 0.000 0.646
0.354 0.000 0.354
0.318 0.318 0.636
0.000 0.000 0.000
0.682 0.318 0.000
0.682 0.682 0.364
0.318 0.682 0.000

=====

PBE-GGA Sc5Pa3H12, optimized geometry; total DFT energy (no corrections) = -0.1983 Ha/atom; SG = Ia-3d (230); total magnetization = 0.00 μB/cell; crystal system = cubic
1.0
-1.306 10.511 -1.567
-1.354 -5.186 -9.270
-7.208 -3.471 7.117
H Pa Sc
48 12 20
direct
0.921 0.839 0.780
0.140 0.421 0.081
0.941 0.581 0.161
0.860 0.579 0.919
0.360 0.941 0.780
0.839 0.921 0.280
0.559 0.339 0.919
0.720 0.140 0.059
0.640 0.581 0.921
0.661 0.220 0.579
0.081 0.921 0.140
0.441 0.780 0.860
0.360 0.419 0.079
0.720 0.579 0.161
0.839 0.919 0.059
0.220 0.661 0.079
0.581 0.640 0.421
0.059 0.419 0.839
0.941 0.360 0.280
0.419 0.059 0.339
0.220 0.559 0.640
0.081 0.161 0.441
0.339 0.559 0.419
0.161 0.081 0.941
0.579 0.860 0.419
0.921 0.081 0.640
0.140 0.720 0.559
0.339 0.780 0.421
0.280 0.421 0.839
0.780 0.441 0.360
0.161 0.079 0.720
0.919 0.079 0.860
0.559 0.220 0.140
0.780 0.339 0.921
0.059 0.640 0.720
0.579 0.720 0.661
0.640 0.059 0.220
0.079 0.161 0.220
0.280 0.860 0.941
0.581 0.941 0.661
0.919 0.839 0.559
0.079 0.919 0.360
0.661 0.441 0.581
0.441 0.661 0.081
0.860 0.280 0.441
0.419 0.360 0.579
0.421 0.280 0.339
0.421 0.140 0.581
0.625 0.250 0.375
0.125 0.250 0.875
0.750 0.875 0.625
0.625 0.375 0.750
0.250 0.125 0.375
0.750 0.375 0.125
0.125 0.875 0.750
0.375 0.625 0.250
0.250 0.625 0.875
0.875 0.125 0.250
0.375 0.750 0.625
0.875 0.750 0.125
0.000 0.500 0.500
0.125 0.750 0.375
0.250 0.875 0.125
0.625 0.875 0.250
0.000 0.000 0.000
0.875 0.625 0.750
0.750 0.125 0.875
0.375 0.125 0.750
0.000 0.500 0.000
0.625 0.750 0.875
0.500 0.500 0.000
0.875 0.250 0.625
0.750 0.625 0.375
0.500 0.500 0.500
0.500 0.000 0.500
0.375 0.250 0.125
0.000 0.000 0.500
0.500 0.000 0.000
0.125 0.375 0.250
0.250 0.375 0.625

=====

PBE-GGA YH2F, optimized geometry; SG = I-42d (122); total magnetization = 0.00 μB/cell; polymorph energy (0 for the lowest one) = 250 meV/atom; crystal system = tetragonal
1.0
3.599 0.000 0.000
0.000 3.599 0.000
1.799 1.799 7.148
F Y H
2 2 4
direct
0.250 0.750 0.500
0.500 0.500 0.000
0.750 0.250 0.500
0.000 0.000 0.000
0.875 0.961 0.750
0.039 0.625 0.250
0.375 0.289 0.750
0.711 0.125 0.250

=====

PBE-GGA Tl2HgPdBr, optimized geometry; SG = P4/mmm (123); total magnetization = 0.00 μB/cell; crystal system = tetragonal; formation energy without anion corrections = -0.341 eV per atom
1.0
-4.132 2.349 2.620
-2.697 0.481 -4.685
-2.216 -4.775 0.785
Pd Br Hg Tl
1 1 1 2
direct
0.000 0.000 0.000
0.500 0.500 0.500
0.000 0.000 0.500
0.000 0.500 0.000
0.500 0.000 0.000

=====

PBE-GGA AcPm3Ho, optimized geometry; SG = C2/m (12); total magnetization = 0.00 μB/cell; polymorph energy (0 for the lowest one) = 0 meV/atom; crystal system = monoclinic; E_form = 0.150 eV/atom
1.0
4.996 0.000 0.000
-2.498 9.780 2.119
0.000 2.720 8.237
Pm Ac Ho
6 2 2
direct
0.105 0.244 0.482
0.581 0.195 0.794
0.463 0.959 0.628
0.294 0.621 0.038
0.939 0.910 0.940
0.750 0.533 0.384
0.638 0.308 0.126
0.406 0.846 0.296
0.213 0.459 0.720
0.831 0.696 0.702

=====

PBE-GGA NaPb2Au2, optimized geometry; SG = P4/mbm (127); total magnetization = 0.00 μB/cell; polymorph energy (0 for the lowest one) = 12 meV/atom; crystal system = tetragonal; E_form = -0.162 eV/atom
1.0
-6.375 3.885 -2.763
-4.164 -2.291 6.385
1.162 3.281 1.935
Au Pb Na
4 4 2
direct
0.366 0.866 0.000
0.866 0.634 0.000
0.134 0.366 0.000
0.634 0.134 0.000
0.833 0.333 0.500
0.667 0.833 0.500
0.333 0.167 0.500
0.167 0.667 0.500
0.500 0.500 0.000
0.000 0.000 0.000

=====

PBE-GGA Ba2DyGeS5, optimized geometry; SG = Cmc2_1 (36); total magnetization = 0.00 μB/cell; crystal system = orthorhombic; formation energy without anion corrections = -1.628 eV per atom
1.0
4.307 0.000 0.000
-2.154 8.987 0.000
0.000 0.000 12.763
Dy S Ge Ba
2 10 2 4
direct
0.203 0.406 0.028
0.797 0.594 0.528
0.500 0.000 0.777
0.652 0.304 0.509
0.682 0.363 0.880
0.957 0.915 0.515
0.299 0.598 0.663
0.701 0.402 0.163
0.348 0.696 0.009
0.318 0.637 0.380
0.043 0.085 0.015
0.500 0.000 0.277
0.555 0.110 0.937
0.445 0.890 0.437
0.127 0.255 0.329
0.120 0.240 0.686
0.873 0.745 0.829
0.880 0.760 0.186

=====

PBE-GGA SrScN2O, optimized geometry; SG = P4/mmm (123); total magnetization = 0.00 μB/cell; crystal system = tetragonal; formation energy without anion corrections = 0.689 eV per atom
1.0
-1.176 -2.633 3.165
0.076 -3.305 -2.721
4.211 -0.707 0.977
N O Sc Sr
2 1 1 1
direct
0.500 0.000 0.000
0.000 0.500 0.000
0.000 0.000 0.500
0.500 0.500 0.500
0.000 0.000 0.000

=====

PBE-GGA Sr2Mg3Pt2, optimized geometry; SG = C2/m (12); total magnetization = 0.00 μB/cell; crystal system = monoclinic; E_form = -0.668 eV/atom
1.0
-1.446 3.597 1.934
-4.548 -3.193 -2.313
2.538 -2.726 6.966
Mg Pt Sr
3 2 2
direct
0.500 0.000 0.000
0.353 0.705 0.566
0.647 0.295 0.434
0.857 0.714 0.786
0.143 0.286 0.214
0.141 0.282 0.784
0.859 0.718 0.216

=====

PBE-GGA SrLi4Hg12, optimized geometry; SG = Im-3 (204); total magnetization = 0.00 μB/cell; crystal system = cubic; E_form = -0.173 eV/atom
1.0
-4.908 -0.887 -6.642
7.234 -3.847 -1.368
-3.701 -3.343 6.643
Hg Li Sr
12 4 1
direct
0.345 0.503 0.158
0.655 0.813 0.158
0.842 0.655 0.497
0.813 0.158 0.655
0.345 0.187 0.842
0.158 0.655 0.813
0.655 0.497 0.842
0.497 0.842 0.655
0.187 0.842 0.345
0.842 0.345 0.187
0.503 0.158 0.345
0.158 0.345 0.503
0.000 0.500 0.000
0.500 0.500 0.500
0.500 0.000 0.000
0.000 0.000 0.500
0.000 0.000 0.000

=====

PBE-GGA Ac4GaCoBr2, optimized geometry; SG = P2/m (10); total magnetization = 0.00 μB/cell; crystal system = monoclinic; formation energy without anion corrections = -0.788 eV per atom
1.0
-1.704 -3.759 1.239
4.593 0.048 6.464
-7.218 3.951 2.057
Br Ac Ga Co
2 4 1 1
direct
0.500 0.000 0.500
0.000 0.500 0.500
0.000 0.230 0.799
0.000 0.770 0.201
0.500 0.221 0.197
0.500 0.779 0.803
0.500 0.500 0.000
0.000 0.000 0.000

=====

PBE-GGA AcCe2Cu2Si2, optimized geometry; SG = R-3m (166); total magnetization = 1.42 μB/cell; crystal system = trigonal; formation energy without anion corrections = -0.469 eV per atom
1.0
-1.726 -3.651 -1.246
1.288 -3.640 1.717
-6.889 -1.583 7.014
Cu Ce Si Ac
2 2 2 1
direct
0.412 0.412 0.764
0.588 0.588 0.236
0.859 0.859 0.424
0.141 0.141 0.576
0.255 0.255 0.235
0.745 0.745 0.765
0.000 0.000 0.000

=====

PBE-GGA YPtRh, optimized geometry; SG = F-43m (216); total magnetization = 0.00 μB/cell; polymorph energy (0 for the lowest one) = 683 meV/atom; crystal system = cubic; E_form = -0.247 eV/atom
1.0
4.524 0.000 0.000
2.262 3.918 0.000
2.262 1.306 3.694
Y Pt Rh
1 1 1
direct
0.750 0.750 0.750
0.000 0.000 0.000
0.500 0.500 0.500

=====

PBE-GGA TbSn2P2Pd7, optimized geometry; SG = C2/m (12); total magnetization = 0.00 μB/cell; crystal system = monoclinic; E_form = -0.504 eV/atom
1.0
-3.648 -0.282 -1.911
1.699 -2.226 -3.032
-3.826 -12.303 3.080
Pd Tb P Sn
7 1 2 2
direct
0.613 0.114 0.832
0.886 0.387 0.168
0.746 0.746 0.548
0.114 0.613 0.832
0.387 0.886 0.168
0.254 0.254 0.452
0.500 0.500 0.000
0.000 0.000 0.000
0.319 0.319 0.269
0.681 0.681 0.731
0.244 0.244 0.653
0.756 0.756 0.347

=====

PBE-GGA Ce2Dy2Hg3, optimized geometry; SG = Cmmm (65); total magnetization = 1.61 μB/cell; crystal system = orthorhombic; E_form = -0.321 eV/atom
1.0
-0.062 -0.833 3.661
3.457 -1.040 -0.178
3.930 12.245 4.779
Hg Ce Dy
3 2 2
direct
0.135 0.000 0.729
0.865 0.000 0.271
0.000 0.000 0.000
0.288 0.500 0.425
0.712 0.500 0.575
0.569 0.500 0.861
0.431 0.500 0.139

=====

PBE-GGA FeSbH3, optimized geometry; SG = Pm-3m (221); total magnetization = 3.65 μB/cell; polymorph energy (0 for the lowest one) = 675 meV/atom; crystal system = cubic
1.0
3.998 0.000 0.000
0.000 3.998 0.000
0.000 0.000 3.998
Fe H Sb
1 3 1
direct
0.500 0.500 0.500
0.000 0.000 0.500
0.500 0.000 0.000
0.000 0.500 0.000
0.000 0.000 0.000

=====

PBE-GGA Cr2GeAs2, optimized geometry; SG = P4/mbm (127); total magnetization = 5.64 μB/cell; crystal system = tetragonal; E_form = 0.130 eV/atom
1.0
7.000 0.000 0.000
0.000 7.000 0.000
0.000 0.000 3.079
Cr Ge As
4 2 4
direct
0.354 0.854 0.000
0.854 0.646 0.000
0.146 0.354 0.000
0.646 0.146 0.000
0.500 0.500 0.000
0.000 0.000 0.000
0.854 0.354 0.500
0.146 0.646 0.500
0.354 0.146 0.500
0.646 0.854 0.500